This record from Alexandria via LeMat-Bulk describes crystalline CsCr2AsO8 at its relaxed geometry. The functional is PBE with a Hubbard U.

Unit cell a=5.3312 b=5.3312 c=8.7036 alpha=85.25 beta=85.25 gamma=63.95
With the nearest neighbours (Å) after each atom.
Element x y z (fractional)
Cs: 0.0000 0.0000 0.5000  10 O 3.20-3.40
Cr: 0.6257 0.6257 0.1911  4 O 1.63-1.70
Cr: 0.3743 0.3743 0.8089  4 O 1.63-1.70
As: 0.0000 0.0000 0.0000  6 O 2.06-2.09
O: 0.7241 0.2326 0.8297  1 Cr 1.70
O: 0.7732 0.7732 0.0582  1 Cr 1.68
O: 0.6782 0.6782 0.3648  1 Cr 1.63
O: 0.3218 0.3218 0.6352  1 Cr 1.63
O: 0.2268 0.2268 0.9418  1 Cr 1.68
O: 0.2326 0.7241 0.8297  1 Cr 1.70
O: 0.7674 0.2759 0.1703  1 Cr 1.70
O: 0.2759 0.7674 0.1703  1 Cr 1.70

Computed properties:
- total DFT energy (no corrections) (eV/f.u.) = -75.71
- volume (Å³ per atom) = 18.4
- space-group type = C2/m, No. 12
- magnetization (Bohr magnetons per cell) = 0.0